TlIn2SbCl | GGA-PBE | optimized geometry

Unit cell a=5.8092 b=5.5797 c=5.8092 alpha=90.00 beta=90.00 gamma=90.00
Closest atoms and distances in Å follow each position.
Fractional positions:
1 Sb 0.0000 0.0000 0.0000  2 Cl 2.79, 4 In 2.90
2 Tl 0.5000 0.5000 0.5000  8 In 4.03, 4 Cl 4.11
3 Cl 0.0000 0.5000 0.0000  2 Sb 2.79
4 In 0.0000 0.0000 0.5000  2 Sb 2.90
5 In 0.5000 0.0000 0.0000  2 Sb 2.90

## Properties
Density, Mg/m³: 5.214
V, Å³/cell: 188.3
Magnetization, μB per cell: 0.00
ΔE_f (raw), eV/atom: 0.1013